Version one
TmTeAuO | PBE | relaxed

```
data_TmTeAuO
_chemical_formula_sum 'Tm4 Te4 Au4 O4'
_space_group_name_H-M_alt 'P 1 21/c 1'
_space_group_IT_number 14
_space_group_name_Hall '-P 2ybc'
_cell_length_a 7.8256
_cell_length_b 6.2467
_cell_length_c 6.1721
_cell_angle_alpha 90.00
_cell_angle_beta 90.73
_cell_angle_gamma 90.00
loop_
_atom_site_label
_atom_site_type_symbol
_atom_site_fract_x
_atom_site_fract_y
_atom_site_fract_z
_atom_site_occupancy
Tm1 Tm 0.0909 0.0169 0.2494 1
Te1 Te 0.3101 0.5752 0.2021 1
Au1 Au 0.4014 0.2030 0.0077 1
O1 O 0.0073 0.2402 0.9958 1
```

Version two
TmTeAuO | PBE | relaxed

```
data_TmTeAuO
_chemical_formula_sum 'Tm2 Te2 Au2 O2'
_space_group_name_H-M_alt 'P 4/n m m'
_space_group_IT_number 129
_cell_length_a 3.9743
_cell_length_b 3.9743
_cell_length_c 10.0691
_cell_angle_alpha 90.00
_cell_angle_beta 90.00
_cell_angle_gamma 90.00
loop_
_space_group_symop_operation_xyz
'x,y,z'
'-x,-y,-z'
'-y+1/2,x,z'
'y+1/2,-x,-z'
'-x+1/2,-y+1/2,z'
'x+1/2,y+1/2,-z'
'y,-x+1/2,z'
'-y,x+1/2,-z'
'x+1/2,-y,-z'
'-x+1/2,y,z'
'-y,-x,-z'
'y,x,z'
'-x,y+1/2,-z'
'x,-y+1/2,z'
'y+1/2,x+1/2,-z'
'-y+1/2,-x+1/2,z'
loop_
_atom_site_label
_atom_site_type_symbol
_atom_site_fract_x
_atom_site_fract_y
_atom_site_fract_z
_atom_site_occupancy
Tm1 Tm 0.2500 0.2500 0.1036 1
Te1 Te 0.2500 0.2500 0.7178 1
Au1 Au 0.2500 0.7500 0.5000 1
O1 O 0.2500 0.7500 0.0000 1
```

Stability check: which of them is least stable? version one.

Version one
TlAuO2 | PBE | relaxed

```
data_TlAuO2
_chemical_formula_sum 'Tl3 Au3 O6'
_space_group_name_H-M_alt 'R -3 m'
_space_group_IT_number 166
_space_group_name_Hall '-R 3 2"'
_cell_length_a 3.4951
_cell_length_b 3.4951
_cell_length_c 18.9358
_cell_angle_alpha 90.00
_cell_angle_beta 90.00
_cell_angle_gamma 120.00
loop_
_atom_site_label
_atom_site_type_symbol
_atom_site_fract_x
_atom_site_fract_y
_atom_site_fract_z
_atom_site_occupancy
Tl1 Tl 0.0000 0.0000 0.0000 1
Au1 Au 0.0000 0.0000 0.5000 1
O1 O 0.0000 0.0000 0.3922 1
```

Version two
TlAuO2 | PBE | relaxed

```
data_TlAuO2
_chemical_formula_sum 'Tl4 Au4 O8'
_space_group_name_H-M_alt 'C m c m'
_space_group_IT_number 63
_space_group_name_Hall '-C 2c 2'
_cell_length_a 4.2850
_cell_length_b 12.3199
_cell_length_c 6.1197
_cell_angle_alpha 90.00
_cell_angle_beta 90.00
_cell_angle_gamma 90.00
loop_
_atom_site_label
_atom_site_type_symbol
_atom_site_fract_x
_atom_site_fract_y
_atom_site_fract_z
_atom_site_occupancy
Tl1 Tl 0.0000 0.2050 0.2500 1
Au1 Au 0.0000 0.4970 0.2500 1
O1 O 0.0000 0.3900 0.5049 1
```

Stability check: which of them is least stable? version two.